No. 1
Compound: Pm2Pa2Se7
Source: Alexandria via LeMat-Bulk
Functional: PBE
Structure: optimized geometry

The structure belongs to space group Imm2 (No. 44); the cell edges are 4.101, 14.970 and 9.081 Å and the angles 90.00°, 90.00° and 90.00°. Symmetry generates all atoms from Pm at (0.000, 0.238, 0.000), Pa at (0.000, 0.000, 0.245), Pa at (0.000, 0.500, 0.193), Se at (0.000, 0.000, 0.924), Se at (0.000, 0.107, 0.518), Se at (0.000, 0.320, 0.297) and Se at (0.000, 0.367, 0.694).

=====

No. 2
Compound: PmPa2Se6
Source: Alexandria via LeMat-Bulk
Functional: PBE
Structure: optimized geometry

The structure belongs to space group C2/m (No. 12); the cell edges are 14.122, 5.453 and 9.350 Å and the angles 90.00°, 126.44° and 90.00°. Symmetry generates all atoms from Pm at (0.000, 0.000, 0.000), Pa at (0.184, 0.000, 0.607), Se at (0.039, 0.000, 0.720), Se at (0.131, 0.500, 0.051) and Se at (0.240, 0.500, 0.624).

=====

No. 3
Compound: Pm2Pa3Se8
Source: Alexandria via LeMat-Bulk
Functional: PBE
Structure: optimized geometry

The structure belongs to space group P2/m (No. 10); the cell edges are 7.339, 4.146 and 13.662 Å and the angles 90.00°, 100.98° and 90.00°. Symmetry generates all atoms from Pm at (0.242, 0.000, 0.250), Pa at (0.258, 0.500, 0.750), Pa at (0.500, 0.000, 0.000), Se at (0.099, 0.500, 0.362), Se at (0.139, 0.000, 0.875), Se at (0.366, 0.500, 0.119) and Se at (0.378, 0.000, 0.637).

=====

No. 4
Compound: Pm2PaSe4
Source: Alexandria via LeMat-Bulk
Functional: PBE
Structure: optimized geometry

The structure belongs to space group C2/m (No. 12); the cell edges are 15.432, 4.169 and 7.318 Å and the angles 90.00°, 117.21° and 90.00°. Symmetry generates all atoms from Pm at (0.234, 0.000, 0.228), Pa at (0.000, 0.500, 0.500), Se at (0.120, 0.500, 0.936) and Se at (0.131, 0.000, 0.490).

=====

No. 5
Compound: Pm2PaSe6
Source: Alexandria via LeMat-Bulk
Functional: PBE
Structure: optimized geometry

The structure belongs to space group P4_2/mnm (No. 136); the cell edges are 6.785, 6.785 and 12.914 Å and the angles 90.00°, 90.00° and 90.00°. Symmetry generates all atoms from Pm at (0.000, 0.000, 0.167), Pa at (0.000, 0.000, 0.500), Se at (0.195, 0.195, 0.342) and Se at (0.209, 0.209, 0.000).

=====

No. 6
Compound: PmPa2Se3
Source: Alexandria via LeMat-Bulk
Functional: PBE
Structure: optimized geometry

The structure belongs to space group P2_1/c (No. 14); the cell edges are 5.801, 12.495 and 8.091 Å and the angles 90.00°, 90.03° and 90.00°. Symmetry generates all atoms from Pm at (0.250, 0.081, 0.128), Pa at (0.250, 0.084, 0.622), Pa at (0.251, 0.747, 0.625), Se at (0.249, 0.248, 0.875), Se at (0.250, 0.584, 0.370) and Se at (0.250, 0.585, 0.879).

=====

No. 7
Compound: PmPa2Se5
Source: Alexandria via LeMat-Bulk
Functional: PBE
Structure: optimized geometry

The structure belongs to space group Pnma (No. 62); the cell edges are 12.679, 8.177 and 7.762 Å and the angles 90.00°, 90.00° and 90.00°. Symmetry generates all atoms from Pm at (0.004, 0.250, 0.085), Pa at (0.181, 0.501, 0.511), Se at (0.001, 0.250, 0.472), Se at (0.109, 0.545, 0.162), Se at (0.182, 0.250, 0.820) and Se at (0.215, 0.750, 0.791).

=====

No. 8
Compound: PmPaSe
Source: Alexandria via LeMat-Bulk
Functional: PBE
Structure: optimized geometry

The structure belongs to space group P4/nmm (No. 129, origin choice 2); the cell edges are 4.132, 4.132 and 8.612 Å and the angles 90.00°, 90.00° and 90.00°. Symmetry generates all atoms from Pm at (0.250, 0.250, 0.143), Pa at (0.250, 0.750, 0.500) and Se at (0.250, 0.250, 0.782).

=====

| no. | ΔE_f (raw) (eV/atom) |
| --- | --- |
| 1 | -1.598 |
| 2 | -1.370 |
| 3 | -1.491 |
| 4 | -1.577 |
| 5 | -1.415 |
| 6 | -1.398 |
| 7 | -1.480 |
| 8 | -0.899 |